No. 1
# PmIn2GaNi2 (GGA-PBE, relaxed)
data_PmIn2GaNi2
_symmetry_space_group_name_H-M 'P 4/m m m'
_symmetry_Int_Tables_number 123
_symmetry_space_group_name_Hall '-P 4 2'
_cell_length_a 4.5000
_cell_length_b 4.5000
_cell_length_c 5.9648
_cell_angle_alpha 90.00
_cell_angle_beta 90.00
_cell_angle_gamma 90.00
loop_
_atom_site_label
_atom_site_fract_x
_atom_site_fract_y
_atom_site_fract_z
Pm1 0.0000 0.0000 0.0000
In1 0.5000 0.5000 0.2428
Ga1 0.0000 0.0000 0.5000
Ni1 0.0000 0.5000 0.5000
# - Energy relative to the elements: -0.2818 eV per atom
# - M_tot: 0.00 μB per formula unit
# - VASP energy: -4.4179 eV per atom

No. 2
# AcCd2InAu4 (GGA-PBE, relaxed)
data_AcCd2InAu4
_symmetry_space_group_name_H-M 'R -3 m'
_symmetry_Int_Tables_number 166
_symmetry_space_group_name_Hall '-R 3 2"'
_cell_length_a 4.7683
_cell_length_b 4.7683
_cell_length_c 28.2721
_cell_angle_alpha 90.00
_cell_angle_beta 90.00
_cell_angle_gamma 120.00
loop_
_atom_site_label
_atom_site_fract_x
_atom_site_fract_y
_atom_site_fract_z
Ac1 0.0000 0.0000 0.0000
Cd1 0.0000 0.0000 0.2422
In1 0.0000 0.0000 0.5000
Au1 0.0000 0.0000 0.1275
Au2 0.0000 0.0000 0.3944
# - Energy relative to the elements: -0.4089 eV per atom
# - M_tot: 0.00 μB per formula unit
# - VASP energy: -3.1322 eV per atom

No. 3
# TiAlIr2 (GGA-PBE, relaxed)
data_TiAlIr2
_symmetry_space_group_name_H-M 'F m -3 m'
_symmetry_Int_Tables_number 225
_symmetry_space_group_name_Hall '-F 4 2 3'
_cell_length_a 6.1504
_cell_length_b 6.1504
_cell_length_c 6.1504
_cell_angle_alpha 90.00
_cell_angle_beta 90.00
_cell_angle_gamma 90.00
loop_
_atom_site_label
_atom_site_fract_x
_atom_site_fract_y
_atom_site_fract_z
Ti1 0.0000 0.0000 0.0000
Al1 0.0000 0.0000 0.5000
Ir1 0.2500 0.2500 0.2500
# - Energy relative to the elements: -0.8973 eV per atom
# - M_tot: 0.00 μB per formula unit
# - VASP energy: -8.2371 eV per atom